Entry 1:
DFT (PBE) results for a relaxed Ho8BiSe6 crystal.

abc: 10.541 10.541 4.031
angles: 90.00 90.00 120.00
Element x y z (fractional)
Ho 0.037 0.328 0.246
Ho 0.291 0.963 0.246
Ho 0.328 0.291 0.754
Ho 0.333 0.667 0.751
Ho 0.667 0.333 0.249
Ho 0.672 0.709 0.246
Ho 0.709 0.037 0.754
Ho 0.963 0.672 0.754
Bi 0.000 0.000 0.000
Se 0.132 0.649 0.251
Se 0.351 0.483 0.251
Se 0.483 0.132 0.749
Se 0.517 0.868 0.251
Se 0.649 0.517 0.749
Se 0.868 0.351 0.749

As for the symmetry: P-3 (147). The calculation puts the volume at 25.86 Å³ per atom. The calculation puts the formation energy (no corrections) at -1312 meV per atom.

Entry 2:
DFT (PBE) results for a relaxed Ho3Bi2Se2 crystal.

abc: 8.211 8.211 7.808
angles: 114.04 114.04 28.78
Element x y z (fractional)
Ho 0.000 0.000 0.000
Ho 0.268 0.268 0.237
Ho 0.732 0.732 0.763
Bi 0.373 0.373 0.683
Bi 0.627 0.627 0.317
Se 0.135 0.135 0.847
Se 0.865 0.865 0.153

As for the symmetry: C2/m (12). The calculation puts the volume at 32.85 Å³ per atom. The calculation puts the formation energy (no corrections) at -1150 meV per atom.

Entry 3:
DFT (PBE) results for a relaxed Ho3BiSe3 crystal.

abc: 8.665 8.665 8.665
angles: 56.63 56.63 56.63
Element x y z (fractional)
Ho 0.016 0.786 0.423
Ho 0.214 0.577 0.984
Ho 0.423 0.016 0.786
Ho 0.577 0.984 0.214
Ho 0.786 0.423 0.016
Ho 0.984 0.214 0.577
Bi 0.166 0.166 0.166
Bi 0.834 0.834 0.834
Se 0.127 0.370 0.668
Se 0.332 0.873 0.630
Se 0.370 0.668 0.127
Se 0.630 0.332 0.873
Se 0.668 0.127 0.370
Se 0.873 0.630 0.332

As for the symmetry: R-3 (148). The calculation puts the volume at 30.31 Å³ per atom. The calculation puts the formation energy (no corrections) at -1447 meV per atom.

Entry 4:
DFT (PBE) results for a relaxed Ho5Bi4Se crystal.

abc: 7.593 7.593 7.593
angles: 99.67 99.67 131.60
Element x y z (fractional)
Ho 0.000 0.000 0.000
Ho 0.212 0.600 0.811
Ho 0.400 0.212 0.612
Ho 0.600 0.788 0.388
Ho 0.788 0.400 0.189
Bi 0.095 0.302 0.397
Bi 0.302 0.905 0.207
Bi 0.698 0.095 0.793
Bi 0.905 0.698 0.603
Se 0.500 0.500 0.000

The value obtained for the excess energy over the best structure of this formula in the dataset is 0 meV/atom. As for the symmetry: I4/m (87). The calculation puts the volume at 29.86 Å³ per atom. The calculation puts the formation energy (no corrections) at -1004 meV per atom.

Entry 5:
DFT (PBE) results for a relaxed Ho4Bi3Se crystal.

abc: 7.559 8.762 7.555
angles: 90.00 109.52 90.00
Element x y z (fractional)
Ho 0.240 0.120 0.001
Ho 0.240 0.880 0.501
Ho 0.246 0.369 0.493
Ho 0.246 0.631 0.993
Ho 0.754 0.369 0.007
Ho 0.754 0.631 0.507
Ho 0.760 0.120 0.499
Ho 0.760 0.880 0.999
Bi 0.000 0.374 0.750
Bi 0.000 0.626 0.250
Bi 0.500 0.124 0.750
Bi 0.500 0.375 0.250
Bi 0.500 0.625 0.750
Bi 0.500 0.876 0.250
Se 0.000 0.122 0.250
Se 0.000 0.878 0.750

As for the symmetry: P2/c (13). The calculation puts the volume at 29.48 Å³ per atom. The calculation puts the formation energy (no corrections) at -1043 meV per atom.

Entry 6:
DFT (PBE) results for a relaxed Ho4Bi5Se crystal.

abc: 9.342 9.342 8.104
angles: 102.08 102.08 27.32
Element x y z (fractional)
Ho 0.041 0.041 0.245
Ho 0.348 0.348 0.058
Ho 0.652 0.652 0.942
Ho 0.959 0.959 0.755
Bi 0.134 0.134 0.646
Bi 0.206 0.206 0.222
Bi 0.500 0.500 0.500
Bi 0.794 0.794 0.778
Bi 0.866 0.866 0.354
Se 0.500 0.500 0.000

As for the symmetry: C2/m (12). The calculation puts the volume at 31.70 Å³ per atom. The calculation puts the formation energy (no corrections) at -707 meV per atom.